Entry from the Alexandria database: Na3HfSe after structural relaxation (PBEsol).

a b c (Å): 5.4144 5.4144 5.4144
angles (deg): 90.00 90.00 90.00
With the nearest neighbours (Å) after each atom.
Space group Pm-3m (No. 221)
Symmetry-distinct sites (fractional):
Na 0.0000 0.0000 0.5000 x3  2 Se 2.71
Hf 0.5000 0.5000 0.5000 x1  12 Na 3.83
Se 0.0000 0.0000 0.0000 x1  6 Na 2.71

Values from the calculation:
For the uncorrected formation energy, the calculation gives 0.51 eV/atom.